Entry A
# NaZn2Tc

Crystalline NaZn2Tc at its relaxed geometry (GGA-PBE, Alexandria).

Summary:
Size of the total moment in μB per formula unit: 1.60
Space-group type: No. 225
DOS at the Fermi energy in states/eV/f.u.: 3.857

The structure in POSCAR format:
```
NaZn2Tc
1.0
0.0000 3.1952 3.1952
3.1952 0.0000 3.1952
3.1952 3.1952 0.0000
Na Zn Tc
1 2 1
Cartesian
0.0000 0.0000 0.0000 Na
1.5976 1.5976 1.5976 Zn
4.7928 4.7928 4.7928 Zn
3.1952 3.1952 3.1952 Tc
```

***

Entry B
# NaZn2Tc

Crystalline NaZn2Tc at its relaxed geometry (GGA-PBE, Alexandria).

Summary:
Size of the total moment in μB per formula unit: 0.52
Space-group type: No. 122
DOS at the Fermi energy in states/eV/f.u.: 2.436

The structure in POSCAR format:
```
NaZn2Tc
1.0
-2.0884 2.0884 8.8878
2.0884 -2.0884 8.8878
2.0884 2.0884 -8.8878
Na Zn Tc
2 4 2
Cartesian
0.0000 0.0000 0.0000 Na
0.0000 2.0884 4.4439 Na
1.0442 -0.7749 6.6659 Zn
1.3135 1.0442 2.2220 Zn
1.0442 2.8632 -2.2220 Zn
0.7749 1.0442 11.1098 Zn
2.0884 0.0000 4.4439 Tc
0.0000 0.0000 8.8878 Tc
```

***

entry A is preferred energetically. Next in line: 397 meV per atom higher.

***

Entry A
# NaZnTc3

Crystalline NaZnTc3 at its relaxed geometry (GGA-PBE, Alexandria).

Summary:
Size of the total moment in μB per formula unit: 4.58
Space-group type: No. 221
DOS at the Fermi energy in states/eV/f.u.: 5.755

The structure in POSCAR format:
```
NaZnTc3
1.0
4.5111 0.0000 0.0000
0.0000 4.5111 0.0000
0.0000 0.0000 4.5111
Na Zn Tc
1 1 3
Cartesian
0.0000 0.0000 0.0000 Na
2.2556 2.2556 2.2556 Zn
0.0000 0.0000 2.2556 Tc
0.0000 2.2556 0.0000 Tc
2.2556 0.0000 0.0000 Tc
```

***

Entry B
# NaZnTc3

Crystalline NaZnTc3 at its relaxed geometry (GGA-PBE, Alexandria).

Summary:
Size of the total moment in μB per formula unit: 3.99
Space-group type: No. 221
DOS at the Fermi energy in states/eV/f.u.: 6.527

The structure in POSCAR format:
```
NaZnTc3
1.0
4.6437 0.0000 0.0000
0.0000 4.6437 0.0000
0.0000 0.0000 4.6437
Na Zn Tc
1 1 3
Cartesian
0.0000 0.0000 0.0000 Na
2.3219 2.3219 2.3219 Zn
0.0000 2.3219 2.3219 Tc
2.3219 0.0000 2.3219 Tc
2.3219 2.3219 0.0000 Tc
```

***

entry B is preferred energetically. Next in line: 686 meV per atom higher.

***

Entry A
# Na2ZnTc2

Crystalline Na2ZnTc2 at its relaxed geometry (GGA-PBE, Alexandria).

Summary:
Size of the total moment in μB per formula unit: 0.16
Space-group type: No. 139
DOS at the Fermi energy in states/eV/f.u.: 4.383

The structure in POSCAR format:
```
Na2ZnTc2
1.0
-1.7834 1.7834 7.3987
1.7834 -1.7834 7.3987
1.7834 1.7834 -7.3987
Na Zn Tc
2 1 2
Cartesian
1.7834 0.0000 3.6994 Na
0.0000 1.7834 3.6994 Na
0.0000 0.0000 0.0000 Zn
0.0000 0.0000 6.3002 Tc
0.0000 0.0000 8.4972 Tc
```

***

Entry B
# Na2ZnTc2

Crystalline Na2ZnTc2 at its relaxed geometry (GGA-PBE, Alexandria).

Summary:
Size of the total moment in μB per formula unit: 0.00
Space-group type: No. 127
DOS at the Fermi energy in states/eV/f.u.: 4.259

The structure in POSCAR format:
```
Na2ZnTc2
1.0
9.1717 0.0000 0.0000
0.0000 9.1717 0.0000
0.0000 0.0000 2.6000
Na Zn Tc
4 2 4
Cartesian
1.8546 2.7313 0.0000 Na
2.7313 7.3171 0.0000 Na
6.4405 1.8546 0.0000 Na
7.3171 6.4405 0.0000 Na
0.0000 0.0000 1.3000 Zn
4.5859 4.5859 1.3000 Zn
0.7737 5.3595 1.3000 Tc
3.8122 0.7737 1.3000 Tc
5.3595 8.3981 1.3000 Tc
8.3981 3.8122 1.3000 Tc
```

***

entry B is preferred energetically. Next in line: 108 meV per atom higher.

***

Entry A
# NaZn2Tc2

Crystalline NaZn2Tc2 at its relaxed geometry (GGA-PBE, Alexandria).

Summary:
Size of the total moment in μB per formula unit: 0.00
Space-group type: No. 127
DOS at the Fermi energy in states/eV/f.u.: 3.549

The structure in POSCAR format:
```
NaZn2Tc2
1.0
7.9508 0.0000 0.0000
0.0000 7.9508 0.0000
0.0000 0.0000 2.6836
Na Zn Tc
2 4 4
Cartesian
0.0000 0.0000 0.0000 Na
3.9754 3.9754 0.0000 Na
1.4900 2.4854 1.3418 Zn
2.4854 6.4608 1.3418 Zn
5.4654 1.4900 1.3418 Zn
6.4608 5.4654 1.3418 Zn
0.8272 4.8026 0.0000 Tc
3.1482 0.8272 0.0000 Tc
4.8026 7.1236 0.0000 Tc
7.1236 3.1482 0.0000 Tc
```

***

Entry B
# NaZn2Tc2

Crystalline NaZn2Tc2 at its relaxed geometry (GGA-PBE, Alexandria).

Summary:
Size of the total moment in μB per formula unit: 0.00
Space-group type: No. 127
DOS at the Fermi energy in states/eV/f.u.: 3.977

The structure in POSCAR format:
```
NaZn2Tc2
1.0
7.9660 0.0000 0.0000
0.0000 7.9660 0.0000
0.0000 0.0000 2.6787
Na Zn Tc
2 4 4
Cartesian
0.0000 0.0000 0.0000 Na
3.9830 3.9830 0.0000 Na
1.4852 2.4978 0.0000 Zn
2.4978 6.4809 0.0000 Zn
5.4682 1.4852 0.0000 Zn
6.4809 5.4682 0.0000 Zn
0.8315 4.8145 1.3393 Tc
3.1515 0.8315 1.3393 Tc
4.8145 7.1345 1.3393 Tc
7.1345 3.1515 1.3393 Tc
```

***

entry A is preferred energetically. Next in line: 13 meV per atom higher.

***

Entry A
# NaZr3Tc

Crystalline NaZr3Tc at its relaxed geometry (GGA-PBE, Alexandria).

Summary:
Size of the total moment in μB per formula unit: 0.94
Space-group type: No. 221
DOS at the Fermi energy in states/eV/f.u.: 7.718

The structure in POSCAR format:
```
NaZr3Tc
1.0
5.1294 0.0000 0.0000
0.0000 5.1294 0.0000
0.0000 0.0000 5.1294
Na Zr Tc
1 3 1
Cartesian
0.0000 0.0000 0.0000 Na
0.0000 2.5647 2.5647 Zr
2.5647 0.0000 2.5647 Zr
2.5647 2.5647 0.0000 Zr
2.5647 2.5647 2.5647 Tc
```

***

Entry B
# NaZr3Tc

Crystalline NaZr3Tc at its relaxed geometry (GGA-PBE, Alexandria).

Summary:
Size of the total moment in μB per formula unit: 1.33
Space-group type: No. 221
DOS at the Fermi energy in states/eV/f.u.: 6.866

The structure in POSCAR format:
```
NaZr3Tc
1.0
4.8732 0.0000 0.0000
0.0000 4.8732 0.0000
0.0000 0.0000 4.8732
Na Zr Tc
1 3 1
Cartesian
0.0000 0.0000 0.0000 Na
0.0000 0.0000 2.4366 Zr
0.0000 2.4366 0.0000 Zr
2.4366 0.0000 0.0000 Zr
2.4366 2.4366 2.4366 Tc
```

***

entry A is preferred energetically. Next in line: 1341 meV per atom higher.

***

Entry A
# NaZrTc2

Crystalline NaZrTc2 at its relaxed geometry (GGA-PBE, Alexandria).

Summary:
Size of the total moment in μB per formula unit: 0.00
Space-group type: No. 122
DOS at the Fermi energy in states/eV/f.u.: 3.674

The structure in POSCAR format:
```
NaZrTc2
1.0
-2.0300 2.0300 9.7615
2.0300 -2.0300 9.7615
2.0300 2.0300 -9.7615
Na Zr Tc
2 2 4
Cartesian
0.0000 0.0000 0.0000 Na
0.0000 2.0300 4.8808 Na
2.0300 0.0000 4.8808 Zr
0.0000 0.0000 9.7615 Zr
1.0150 -0.6687 7.3211 Tc
1.3613 1.0150 2.4404 Tc
1.0150 2.6988 -2.4404 Tc
0.6687 1.0150 12.2019 Tc
```

***

Entry B
# NaZrTc2

Crystalline NaZrTc2 at its relaxed geometry (GGA-PBE, Alexandria).

Summary:
Size of the total moment in μB per formula unit: 0.00
Space-group type: No. 225
DOS at the Fermi energy in states/eV/f.u.: 6.001

The structure in POSCAR format:
```
NaZrTc2
1.0
0.0000 3.2708 3.2708
3.2708 0.0000 3.2708
3.2708 3.2708 0.0000
Na Zr Tc
1 1 2
Cartesian
0.0000 0.0000 0.0000 Na
3.2708 3.2708 3.2708 Zr
1.6354 1.6354 1.6354 Tc
4.9062 4.9062 4.9062 Tc
```

***

entry B is preferred energetically. Next in line: 199 meV per atom higher.